No. 1
A plane-wave DFT calculation with GGA-PBE was carried out for a relaxed structure of CePmTeSe. Values from VASP.

Results
For the total energy, the calculation gives -5.94 eV/atom. The value obtained for the excess energy over the best structure of this formula in the dataset is 0.00 eV/f.u. As for the calculated volume: 28.9 Å³ per atom. The calculation puts the uncorrected formation energy at -1.61 eV per atom.

```
&SYSTEM
  ibrav = 0, nat = 4, ntyp = 4
/
ATOMIC_SPECIES
Ce 140.12 Ce.upf
Pm 145.00 Pm.upf
Te 127.60 Te.upf
Se 78.96 Se.upf
CELL_PARAMETERS angstrom
-2.6496 -3.1912 1.1674
-0.2192 -3.5933 -2.3679
4.3060 -5.1855 3.5499
ATOMIC_POSITIONS crystal
Ce 0.9911 0.9911 0.0267
Pm 0.5093 0.5093 0.4722
Te 0.7504 0.7504 0.7487
Se 0.2492 0.2492 0.2524
```

No. 2
A plane-wave DFT calculation with GGA-PBE was carried out for a relaxed structure of Ce2Pm3ThSe6. Values from VASP.

Results
For the total energy, the calculation gives -6.32 eV/atom. As for the calculated volume: 26.2 Å³ per atom. The calculation puts the uncorrected formation energy at -1.78 eV per atom.

```
&SYSTEM
  ibrav = 0, nat = 12, ntyp = 4
/
ATOMIC_SPECIES
Ce 140.12 Ce.upf
Pm 145.00 Pm.upf
Th 232.04 Th.upf
Se 78.96 Se.upf
CELL_PARAMETERS angstrom
-0.3737 2.3874 3.4208
-7.6574 2.4365 -2.5370
-1.4508 -8.6760 3.3327
ATOMIC_POSITIONS crystal
Ce 0.8338 0.6676 0.6676
Ce 0.1662 0.3324 0.3324
Pm 0.5000 0.5000 0.0000
Pm 0.8342 0.1665 0.6684
Pm 0.1658 0.8335 0.3316
Th 0.5000 0.0000 0.0000
Se 0.3323 0.9169 0.6646
Se 0.6668 0.5838 0.3337
Se 0.6677 0.0831 0.3354
Se 0.9997 0.2522 0.9995
Se 0.0003 0.7478 0.0005
Se 0.3332 0.4162 0.6663
```

No. 3
A plane-wave DFT calculation with GGA-PBE was carried out for a relaxed structure of Ce2PmThSe5. Values from VASP.

Results
For the total energy, the calculation gives -5.71 eV/atom. As for the calculated volume: 35.2 Å³ per atom. The calculation puts the uncorrected formation energy at -1.10 eV per atom.

```
&SYSTEM
  ibrav = 0, nat = 9, ntyp = 4
/
ATOMIC_SPECIES
Ce 140.12 Ce.upf
Pm 145.00 Pm.upf
Th 232.04 Th.upf
Se 78.96 Se.upf
CELL_PARAMETERS angstrom
-1.7240 4.3599 -2.5829
1.4120 -2.2069 -4.6677
-10.0492 -4.5111 -0.9071
ATOMIC_POSITIONS crystal
Ce 0.5000 0.5000 0.2852
Ce 0.5000 0.5000 0.7148
Pm 0.0000 0.0000 0.0000
Th 0.0000 0.0000 0.5000
Se 0.0000 0.5000 0.5000
Se 0.5000 0.0000 0.5000
Se 0.0000 0.0000 0.7554
Se 0.0000 0.0000 0.2446
Se 0.5000 0.5000 0.0000
```